{
  "formula": "Ho5Sb3",
  "functional": "PBE",
  "state": "relaxed",
  "e_tot_ev_per_atom": -5.313,
  "spacegroup": "P6_3/mcm",
  "lattice": [[8.938, 0.000, 0.000], [-4.469, 7.741, 0.000], [0.000, 0.000, 6.275]],
  "species": ["Ho", "Ho", "Ho", "Ho", "Ho", "Ho", "Ho", "Ho", "Ho", "Ho", "Sb", "Sb", "Sb", "Sb", "Sb", "Sb"],
  "frac_coords": [[0.000, 0.246, 0.250], [0.000, 0.754, 0.750], [0.246, 0.000, 0.250], [0.246, 0.246, 0.750], [0.333, 0.667, 0.000], [0.333, 0.667, 0.500], [0.667, 0.333, 0.000], [0.667, 0.333, 0.500], [0.754, 0.000, 0.750], [0.754, 0.754, 0.250], [0.000, 0.389, 0.750], [0.000, 0.611, 0.250], [0.389, 0.000, 0.750], [0.389, 0.389, 0.250], [0.611, 0.000, 0.250], [0.611, 0.611, 0.750]]
}


{
  "formula": "LiDy3Se4",
  "functional": "PBE",
  "state": "relaxed",
  "e_tot_ev_per_atom": -5.455,
  "relative_energy_ev_per_fu": 0.00,
  "spacegroup": "I4/mmm",
  "lattice": [[-2.862, 2.862, 5.723], [2.862, -2.862, 5.723], [2.862, 2.862, -5.723]],
  "species": ["Li", "Dy", "Dy", "Dy", "Se", "Se", "Se", "Se"],
  "frac_coords": [[0.000, 0.000, 0.000], [0.250, 0.750, 0.500], [0.500, 0.500, 0.000], [0.750, 0.250, 0.500], [0.000, 0.500, 0.500], [0.243, 0.243, 0.000], [0.500, 0.000, 0.500], [0.757, 0.757, 0.000]]
}


{
  "formula": "CsGa2CoHg",
  "functional": "PBE",
  "state": "relaxed",
  "e_tot_ev_per_atom": -2.915,
  "e_form_mev_per_atom": -52,
  "spacegroup": "P4/mmm",
  "lattice": [[4.784, 0.000, 0.000], [0.000, 4.784, 0.000], [0.000, 0.000, 5.351]],
  "species": ["Cs", "Ga", "Ga", "Co", "Hg"],
  "frac_coords": [[0.000, 0.000, 0.000], [0.000, 0.500, 0.500], [0.500, 0.000, 0.500], [0.500, 0.500, 0.500], [0.500, 0.500, 0.000]]
}


{
  "formula": "Rb2SmBeO4",
  "functional": "PBE",
  "state": "relaxed",
  "e_tot_ev_per_atom": -5.556,
  "spacegroup": "Fddd",
  "lattice": [[0.000, 6.050, 11.879], [2.603, 0.000, 11.879], [2.603, 6.050, 0.000]],
  "species": ["Rb", "Rb", "Rb", "Rb", "Sm", "Sm", "Be", "Be", "O", "O", "O", "O", "O", "O", "O", "O"],
  "frac_coords": [[0.057, 0.057, 0.693], [0.307, 0.307, 0.943], [0.693, 0.693, 0.057], [0.943, 0.943, 0.307], [0.125, 0.125, 0.125], [0.875, 0.875, 0.875], [0.375, 0.375, 0.375], [0.625, 0.625, 0.625], [0.069, 0.602, 0.509], [0.320, 0.509, 0.602], [0.398, 0.931, 0.680], [0.491, 0.680, 0.931], [0.509, 0.320, 0.069], [0.602, 0.069, 0.320], [0.680, 0.491, 0.398], [0.931, 0.398, 0.491]]
}


{
  "formula": "Pm8PPt3Se4",
  "functional": "PBE",
  "state": "relaxed",
  "e_tot_ev_per_atom": -6.221,
  "spacegroup": "R-3m",
  "lattice": [[4.140, 2.390, 7.119], [-4.140, 2.390, 7.119], [0.000, -4.781, 7.119]],
  "species": ["Pm", "Pm", "Pm", "Pm", "Pm", "Pm", "Pm", "Pm", "P", "Pt", "Pt", "Pt", "Se", "Se", "Se", "Se"],
  "frac_coords": [[0.244, 0.244, 0.244], [0.246, 0.745, 0.745], [0.255, 0.255, 0.754], [0.255, 0.754, 0.255], [0.745, 0.246, 0.745], [0.745, 0.745, 0.246], [0.754, 0.255, 0.255], [0.756, 0.756, 0.756], [0.500, 0.500, 0.500], [0.000, 0.000, 0.500], [0.000, 0.500, 0.000], [0.500, 0.000, 0.000], [0.000, 0.000, 0.000], [0.000, 0.500, 0.500], [0.500, 0.000, 0.500], [0.500, 0.500, 0.000]]
}


{
  "formula": "Cs8Na3Hg",
  "functional": "PBE",
  "state": "relaxed",
  "e_tot_ev_per_atom": -0.946,
  "e_form_mev_per_atom": -22,
  "spacegroup": "P6_3mc",
  "lattice": [[14.932, 0.000, 0.000], [-7.466, 12.931, 0.000], [0.000, 0.000, 9.780]],
  "species": ["Cs", "Cs", "Cs", "Cs", "Cs", "Cs", "Cs", "Cs", "Cs", "Cs", "Cs", "Cs", "Cs", "Cs", "Cs", "Cs", "Na", "Na", "Na", "Na", "Na", "Na", "Hg", "Hg"],
  "frac_coords": [[0.000, 0.000, 0.039], [0.000, 0.000, 0.539], [0.070, 0.535, 0.000], [0.176, 0.351, 0.305], [0.176, 0.824, 0.305], [0.333, 0.667, 0.617], [0.351, 0.176, 0.805], [0.465, 0.535, 0.000], [0.465, 0.930, 0.000], [0.535, 0.070, 0.500], [0.535, 0.465, 0.500], [0.649, 0.824, 0.305], [0.667, 0.333, 0.117], [0.824, 0.176, 0.805], [0.824, 0.649, 0.805], [0.930, 0.465, 0.500], [0.164, 0.328, 0.774], [0.164, 0.836, 0.774], [0.328, 0.164, 0.274], [0.672, 0.836, 0.774], [0.836, 0.164, 0.274], [0.836, 0.672, 0.274], [0.333, 0.667, 0.210], [0.667, 0.333, 0.710]]
}


{
  "formula": "CdSnSbTe2",
  "functional": "PBE",
  "state": "relaxed",
  "e_tot_ev_per_atom": -2.576,
  "relative_energy_ev_per_fu": 0.00,
  "spacegroup": "P4/mmm",
  "lattice": [[5.623, 0.000, 0.000], [0.000, 5.623, 0.000], [0.000, 0.000, 5.455]],
  "species": ["Cd", "Sn", "Sb", "Te", "Te"],
  "frac_coords": [[0.000, 0.000, 0.000], [0.500, 0.500, 0.500], [0.000, 0.000, 0.500], [0.000, 0.500, 0.000], [0.500, 0.000, 0.000]]
}


{
  "formula": "Na2HfUO6",
  "functional": "PBE",
  "state": "relaxed",
  "e_tot_ev_per_atom": -8.201,
  "spacegroup": "P4mm",
  "lattice": [[5.864, 0.000, 0.000], [0.000, 5.864, 0.000], [0.000, 0.000, 4.205]],
  "species": ["Na", "Na", "Hf", "U", "O", "O", "O", "O", "O", "O"],
  "frac_coords": [[0.000, 0.500, 0.000], [0.500, 0.000, 0.000], [0.000, 0.000, 0.541], [0.500, 0.500, 0.559], [0.000, 0.000, 0.060], [0.252, 0.252, 0.572], [0.252, 0.748, 0.572], [0.500, 0.500, 0.060], [0.748, 0.252, 0.572], [0.748, 0.748, 0.572]]
}


{
  "formula": "Np2Si4Ir3Ru",
  "functional": "PBE",
  "state": "relaxed",
  "e_tot_ev_per_atom": -9.050,
  "spacegroup": "P-4m2",
  "lattice": [[4.162, 0.000, 0.000], [0.000, 4.162, 0.000], [0.000, 0.000, 9.726]],
  "species": ["Np", "Np", "Si", "Si", "Si", "Si", "Ir", "Ir", "Ir", "Ru"],
  "frac_coords": [[0.000, 0.500, 0.247], [0.500, 0.000, 0.753], [0.000, 0.000, 0.000], [0.000, 0.500, 0.627], [0.500, 0.000, 0.373], [0.500, 0.500, 0.000], [0.000, 0.500, 0.872], [0.500, 0.000, 0.128], [0.500, 0.500, 0.500], [0.000, 0.000, 0.500]]
}


{
  "formula": "Ba2AuSe",
  "functional": "PBE",
  "state": "relaxed",
  "e_tot_ev_per_atom": -3.884,
  "spacegroup": "R3m",
  "lattice": [[2.324, 1.342, 8.179], [-2.324, 1.342, 8.179], [0.000, -2.684, 8.179]],
  "species": ["Ba", "Ba", "Au", "Se"],
  "frac_coords": [[0.000, 0.000, 0.000], [0.166, 0.166, 0.166], [0.583, 0.583, 0.583], [0.417, 0.417, 0.417]]
}


{
  "formula": "TlCrHg2W",
  "functional": "PBE",
  "state": "relaxed",
  "e_tot_ev_per_atom": -3.234,
  "e_form_mev_per_atom": 1875,
  "spacegroup": "P4/mmm",
  "lattice": [[5.247, 0.000, 0.000], [0.000, 5.247, 0.000], [0.000, 0.000, 5.256]],
  "species": ["Tl", "Cr", "Hg", "Hg", "W"],
  "frac_coords": [[0.000, 0.000, 0.000], [0.500, 0.500, 0.000], [0.000, 0.500, 0.500], [0.500, 0.000, 0.500], [0.000, 0.000, 0.500]]
}


{
  "formula": "BeReTc",
  "functional": "PBE",
  "state": "relaxed",
  "e_tot_ev_per_atom": -9.126,
  "e_form_mev_per_atom": -280,
  "relative_energy_ev_per_fu": 0.00,
  "spacegroup": "Fmmm",
  "lattice": [[0.000, 3.991, 3.995], [2.300, 0.000, 3.995], [2.300, 3.991, 0.000]],
  "species": ["Be", "Be", "Re", "Re", "Tc", "Tc"],
  "frac_coords": [[0.250, 0.250, 0.250], [0.750, 0.750, 0.750], [0.162, 0.162, 0.838], [0.838, 0.838, 0.162], [0.338, 0.662, 0.338], [0.662, 0.338, 0.662]]
}


What did the eighth record say?
{
  "formula": "Na2HfUO6",
  "functional": "PBE",
  "state": "relaxed",
  "e_tot_ev_per_atom": -8.201,
  "spacegroup": "P4mm",
  "lattice": [[5.864, 0.000, 0.000], [0.000, 5.864, 0.000], [0.000, 0.000, 4.205]],
  "species": ["Na", "Na", "Hf", "U", "O", "O", "O", "O", "O", "O"],
  "frac_coords": [[0.000, 0.500, 0.000], [0.500, 0.000, 0.000], [0.000, 0.000, 0.541], [0.500, 0.500, 0.559], [0.000, 0.000, 0.060], [0.252, 0.252, 0.572], [0.252, 0.748, 0.572], [0.500, 0.500, 0.060], [0.748, 0.252, 0.572], [0.748, 0.748, 0.572]]
}